Material: As3P
Method: DFT, GGA-PBE
State: optimized geometry

Structure (extended XYZ):
```
4
Lattice="2.974 0.000 0.000 0.000 4.600 0.000 -0.946 0.000 5.298" Properties=species:S:1:pos:R:3 pbc="T T T"
As 0.000 0.000 0.000
As 0.042 2.300 3.848
As 1.986 2.300 1.451
P 1.014 0.000 2.649
```

Computed properties:
Formation energy = 0.53 eV/atom
E above lowest polymorph = 0.471 eV/atom
E_tot = -17.24 eV per cell
Calculated volume = 72 Å³/cell
ρ = 5858 kg/m3
Fermi-level density of states = 0.3886 states/eV/atom